No. 1
# Ca2SbH

An optimized crystal structure of Ca2SbH (PBE, Alexandria via LeMat-Bulk).

Output
Offset from the most stable computed form: 198 meV per atom

Cell lengths 7.341, 7.341, 7.341 Å; angles 90.00, 90.00, 90.00 degrees
Space group Fm-3m (No. 225)
Inequivalent atoms, fractional coordinates:
Ca1 0.250 0.250 0.250 [8 per cell]
Sb1 0.000 0.000 0.000 [4 per cell]
H1 0.000 0.000 0.500 [4 per cell]


No. 2
# Ru4RhSe

An optimized crystal structure of Ru4RhSe (PBE, Alexandria via LeMat-Bulk).

Output
Energy relative to the elements, uncorrected: 0.81 eV per atom

Cell lengths 7.233, 7.233, 7.233 Å; angles 90.00, 90.00, 90.00 degrees
Space group F-43m (No. 216)
Inequivalent atoms, fractional coordinates:
Ru1 0.124 0.124 0.376 [16 per cell]
Rh1 0.250 0.250 0.750 [4 per cell]
Se1 0.000 0.000 0.000 [4 per cell]


No. 3
# BaNaEuCu

An optimized crystal structure of BaNaEuCu (PBE, Alexandria via LeMat-Bulk).

Output
Calculated formation energy: 13.42 kJ per mole of atoms

Cell lengths 8.205, 8.205, 8.205 Å; angles 90.00, 90.00, 90.00 degrees
Space group F-43m (No. 216)
Inequivalent atoms, fractional coordinates:
Ba1 0.000 0.000 0.000 [4 per cell]
Na1 0.250 0.250 0.750 [4 per cell]
Eu1 0.000 0.000 0.500 [4 per cell]
Cu1 0.250 0.250 0.250 [4 per cell]


No. 4
# Pm3Sm12Er

An optimized crystal structure of Pm3Sm12Er (PBE, Alexandria via LeMat-Bulk).

Output
Calculated formation energy: 1.45 kJ per mole of atoms

Cell lengths 5.124, 5.124, 20.482 Å; angles 90.00, 90.00, 90.00 degrees
Space group P4/mmm (No. 123)
Inequivalent atoms, fractional coordinates:
Pm1 0.000 0.000 0.000 [1 per cell]
Pm2 0.000 0.000 0.251 [2 per cell]
Sm1 0.000 0.500 0.126 [4 per cell]
Sm2 0.000 0.500 0.377 [4 per cell]
Sm3 0.500 0.500 0.000 [1 per cell]
Sm4 0.500 0.500 0.251 [2 per cell]
Sm5 0.500 0.500 0.500 [1 per cell]
Er1 0.000 0.000 0.500 [1 per cell]


No. 5
# SmAgGe4

An optimized crystal structure of SmAgGe4 (PBE, Alexandria via LeMat-Bulk).

Output
Calculated formation energy: -12.22 kJ per mole of atoms

Cell lengths 7.912, 7.912, 7.912 Å; angles 90.00, 90.00, 90.00 degrees
Space group F-43m (No. 216)
Inequivalent atoms, fractional coordinates:
Sm1 0.000 0.000 0.000 [4 per cell]
Ag1 0.250 0.250 0.250 [4 per cell]
Ge1 0.124 0.124 0.624 [16 per cell]


No. 6
# Ta2AlHg

An optimized crystal structure of Ta2AlHg (PBE, Alexandria via LeMat-Bulk).

Output
Calculated formation energy: 6.89 kJ per mole of atoms
Offset from the most stable computed form: 10 meV per atom

Cell lengths 2.883, 4.399, 5.688 Å; angles 90.00, 94.66, 90.00 degrees
Space group P2/m (No. 10)
Inequivalent atoms, fractional coordinates:
Ta1 0.031 0.000 0.263 [2 per cell]
Al1 0.500 0.500 0.500 [1 per cell]
Hg1 0.500 0.500 0.000 [1 per cell]


No. 7
# CsGe2F6

An optimized crystal structure of CsGe2F6 (PBE, Alexandria via LeMat-Bulk).

Output
Energy relative to the elements, uncorrected: -2.33 eV per atom

Cell lengths 11.295, 9.345, 7.626 Å; angles 90.00, 115.62, 90.00 degrees
Space group C2/c (No. 15)
Inequivalent atoms, fractional coordinates:
Cs1 0.000 0.074 0.250 [4 per cell]
Ge1 0.132 0.376 0.777 [8 per cell]
F1 0.115 0.212 0.639 [8 per cell]
F2 0.146 0.498 0.599 [8 per cell]
F3 0.191 0.141 0.073 [8 per cell]


No. 8
# K2Y2PaS6

An optimized crystal structure of K2Y2PaS6 (PBE, Alexandria via LeMat-Bulk).

Output
Energy relative to the elements, uncorrected: -1.82 eV per atom

Cell lengths 6.989, 12.073, 7.897 Å; angles 90.00, 107.37, 90.00 degrees
Space group C2/m (No. 12)
Inequivalent atoms, fractional coordinates:
K1 0.000 0.168 0.000 [4 per cell]
Y1 0.000 0.334 0.500 [4 per cell]
Pa1 0.000 0.000 0.500 [2 per cell]
S1 0.230 0.166 0.696 [8 per cell]
S2 0.239 0.500 0.696 [4 per cell]


No. 9
# Ac2ZrMo2N6

An optimized crystal structure of Ac2ZrMo2N6 (PBE, Alexandria via LeMat-Bulk).

Output
Energy relative to the elements, uncorrected: -0.78 eV per atom

Cell lengths 6.1404, 6.1404, 17.2023 Å; angles 90.00, 90.00, 120.00 degrees
Space group R-3m (No. 166, hexagonal axes)
Inequivalent atoms, fractional coordinates:
Ac1 0.0000 0.0000 0.2072 [6 per cell]
Zr1 0.0000 0.0000 0.0000 [3 per cell]
Mo1 0.0000 0.0000 0.4294 [6 per cell]
N1 0.0172 0.5086 0.7486 [18 per cell]


No. 10
# K2LaAu

An optimized crystal structure of K2LaAu (PBE, Alexandria via LeMat-Bulk).

Output
Calculated formation energy: 12.23 kJ per mole of atoms
Offset from the most stable computed form: 344 meV per atom

Cell lengths 3.9329, 3.9329, 36.7490 Å; angles 90.00, 90.00, 120.00 degrees
Space group R-3m (No. 166, hexagonal axes)
Inequivalent atoms, fractional coordinates:
K1 0.0000 0.0000 0.2297 [6 per cell]
La1 0.0000 0.0000 0.0000 [3 per cell]
Au1 0.0000 0.0000 0.5000 [3 per cell]


No. 11
# Hg2P

An optimized crystal structure of Hg2P (PBE, Alexandria via LeMat-Bulk).

Output
Calculated formation energy: 45.10 kJ per mole of atoms
Offset from the most stable computed form: 380 meV per atom

Cell lengths 2.817, 4.052, 24.786 Å; angles 90.00, 90.00, 90.00 degrees
Space group Imma (No. 74)
Inequivalent atoms, fractional coordinates:
Hg1 0.000 0.250 0.050 [4 per cell]
Hg2 0.000 0.250 0.195 [4 per cell]
P1 0.000 0.250 0.633 [4 per cell]


No. 12
# Pa2NbCr2C4

An optimized crystal structure of Pa2NbCr2C4 (PBE, Alexandria via LeMat-Bulk).

Output
Calculated formation energy: -22.65 kJ per mole of atoms

Cell lengths 13.429, 3.123, 5.645 Å; angles 90.00, 103.86, 90.00 degrees
Space group C2/m (No. 12)
Inequivalent atoms, fractional coordinates:
Pa1 0.127 0.000 0.031 [4 per cell]
Nb1 0.000 0.000 0.500 [2 per cell]
Cr1 0.181 0.500 0.526 [4 per cell]
C1 0.044 0.500 0.261 [4 per cell]
C2 0.240 0.000 0.736 [4 per cell]


No. 13
# SrCa2CdN

An optimized crystal structure of SrCa2CdN (PBE, Alexandria via LeMat-Bulk).

Output
Energy relative to the elements, uncorrected: -0.51 eV per atom

Cell lengths 4.945, 4.945, 5.364 Å; angles 90.00, 90.00, 90.00 degrees
Space group P4/mmm (No. 123)
Inequivalent atoms, fractional coordinates:
Sr1 0.000 0.000 0.000 [1 per cell]
Ca1 0.000 0.500 0.500 [2 per cell]
Cd1 0.500 0.500 0.000 [1 per cell]
N1 0.000 0.000 0.500 [1 per cell]


No. 14
# TePt2Pb

An optimized crystal structure of TePt2Pb (PBE, Alexandria via LeMat-Bulk).

Output
Energy relative to the elements, uncorrected: -0.07 eV per atom
Offset from the most stable computed form: 121 meV per atom

Cell lengths 5.147, 5.147, 15.804 Å; angles 90.00, 90.00, 90.00 degrees
Space group I-42d (No. 122)
Inequivalent atoms, fractional coordinates:
Te1 0.000 0.000 0.000 [4 per cell]
Pt1 0.193 0.250 0.125 [8 per cell]
Pb1 0.000 0.000 0.500 [4 per cell]


No. 15
# KAlAs2Se

An optimized crystal structure of KAlAs2Se (PBE, Alexandria via LeMat-Bulk).

Output
Energy relative to the elements, uncorrected: 1.34 eV per atom
Offset from the most stable computed form: 1400 meV per atom

Cell lengths 5.558, 5.558, 5.626 Å; angles 90.00, 90.00, 90.00 degrees
Space group P4/mmm (No. 123)
Inequivalent atoms, fractional coordinates:
K1 0.000 0.000 0.000 [1 per cell]
Al1 0.500 0.500 0.500 [1 per cell]
As1 0.000 0.500 0.000 [2 per cell]
Se1 0.000 0.000 0.500 [1 per cell]


No. 16
# TiAgHIr2

An optimized crystal structure of TiAgHIr2 (PBE, Alexandria via LeMat-Bulk).

Cell lengths 4.804, 4.804, 3.176 Å; angles 90.00, 90.00, 90.00 degrees
Space group P4/mmm (No. 123)
Inequivalent atoms, fractional coordinates:
Ti1 0.000 0.000 0.000 [1 per cell]
Ag1 0.500 0.500 0.500 [1 per cell]
H1 0.000 0.000 0.500 [1 per cell]
Ir1 0.000 0.500 0.000 [2 per cell]


No. 17
# TlGaS3

An optimized crystal structure of TlGaS3 (PBE, Alexandria via LeMat-Bulk).

Output
Energy relative to the elements, uncorrected: -0.12 eV per atom

Cell lengths 3.736, 8.911, 8.775 Å; angles 90.00, 90.00, 90.00 degrees
Space group Amm2 (No. 38)
Inequivalent atoms, fractional coordinates:
Tl1 0.000 0.000 0.000 [2 per cell]
Ga1 0.500 0.000 0.482 [2 per cell]
S1 0.000 0.125 0.617 [4 per cell]
S2 0.500 0.000 0.235 [2 per cell]


No. 18
# ScRh2Pb

An optimized crystal structure of ScRh2Pb (PBE, Alexandria via LeMat-Bulk).

Output
Calculated formation energy: -21.37 kJ per mole of atoms

Cell lengths 6.600, 6.600, 6.600 Å; angles 90.00, 90.00, 90.00 degrees
Space group F-43m (No. 216)
Inequivalent atoms, fractional coordinates:
Sc1 0.000 0.000 0.000 [4 per cell]
Rh1 0.000 0.000 0.500 [4 per cell]
Rh2 0.250 0.250 0.250 [4 per cell]
Pb1 0.250 0.250 0.750 [4 per cell]


No. 19
# Te3C5

An optimized crystal structure of Te3C5 (PBE, Alexandria via LeMat-Bulk).

Output
Energy relative to the elements, uncorrected: 2.31 eV per atom
Offset from the most stable computed form: 1035 meV per atom

Cell lengths 6.193, 17.945, 3.059 Å; angles 90.00, 90.00, 90.00 degrees
Space group Cmmm (No. 65)
Inequivalent atoms, fractional coordinates:
Te1 0.000 0.000 0.000 [2 per cell]
Te2 0.000 0.279 0.500 [4 per cell]
C1 0.000 0.500 0.000 [2 per cell]
C2 0.114 0.500 0.500 [4 per cell]
C3 0.250 0.250 0.000 [4 per cell]


No. 20
# CrHg2Cl

An optimized crystal structure of CrHg2Cl (PBE, Alexandria via LeMat-Bulk).

Output
Energy relative to the elements, uncorrected: 0.21 eV per atom
Offset from the most stable computed form: 305 meV per atom

Cell lengths 7.233, 7.233, 7.233 Å; angles 90.00, 90.00, 90.00 degrees
Space group F-43m (No. 216)
Inequivalent atoms, fractional coordinates:
Cr1 0.000 0.000 0.000 [4 per cell]
Hg1 0.000 0.000 0.500 [4 per cell]
Hg2 0.250 0.250 0.750 [4 per cell]
Cl1 0.250 0.250 0.250 [4 per cell]


no.,VASP energy (eV per atom),spin magnetization (Bohr magnetons per cell)
1,-3.474,0.000
2,-7.182,6.370
3,-4.264,31.526
4,-4.700,0.000
5,-4.467,0.000
6,-6.866,0.000
7,-4.699,0.000
8,-6.312,2.160
9,-8.812,0.000
10,-2.473,0.000
11,-1.537,0.000
12,-9.702,1.021
13,-3.500,0.000
14,-4.807,0.000
15,-2.180,1.119
16,-5.804,0.000
17,-3.671,0.000
18,-6.407,0.000
19,-4.630,0.493
20,-2.809,20.053